Below is crystalline KPH3O3F at its relaxed geometry, with properties calculated at the GGA-PBEsol level.

Lattice parameters (Å, degrees): 6.468 10.858 7.793 90.00 125.57 90.00
Fractional positions:
1 K 0.061 0.184 0.439
2 K 0.061 0.316 0.939
3 K 0.939 0.684 0.061
4 K 0.939 0.816 0.561
5 P 0.397 0.041 0.200
6 P 0.397 0.459 0.700
7 P 0.603 0.541 0.300
8 P 0.603 0.959 0.800
9 H 0.277 0.559 0.724
10 H 0.277 0.941 0.224
11 H 0.282 0.037 0.863
12 H 0.282 0.463 0.363
13 H 0.414 0.715 0.062
14 H 0.414 0.785 0.562
15 H 0.586 0.215 0.438
16 H 0.586 0.285 0.938
17 H 0.718 0.537 0.637
18 H 0.718 0.963 0.137
19 H 0.723 0.059 0.776
20 H 0.723 0.441 0.276
21 O 0.229 0.074 0.960
22 O 0.229 0.426 0.460
23 O 0.333 0.504 0.221
24 O 0.333 0.996 0.721
25 O 0.384 0.150 0.319
26 O 0.384 0.350 0.819
27 O 0.616 0.650 0.181
28 O 0.616 0.850 0.681
29 O 0.667 0.004 0.279
30 O 0.667 0.496 0.779
31 O 0.771 0.574 0.540
32 O 0.771 0.926 0.040
33 F 0.243 0.732 0.462
34 F 0.243 0.768 0.962
35 F 0.757 0.232 0.038
36 F 0.757 0.268 0.538

The value obtained for the density of states at the Fermi level is 0.0000 states/eV per atom. The value obtained for the total DFT energy (no corrections) is -198.81 eV for the cell shown. The value obtained for the total magnetization is 0.0 μB per formula unit. For the calculated volume, the calculation gives 445.2 Å³ per cell.

Below is crystalline KPH3O4F at its relaxed geometry, with properties calculated at the GGA-PBEsol level.

Lattice parameters (Å, degrees): 6.236 12.275 6.804 90.00 114.96 90.00
Fractional positions:
1 K 0.129 0.133 0.394
2 K 0.129 0.367 0.894
3 K 0.871 0.633 0.106
4 K 0.871 0.867 0.606
5 P 0.366 0.642 0.593
6 P 0.366 0.858 0.093
7 P 0.634 0.142 0.907
8 P 0.634 0.358 0.407
9 H 0.039 0.613 0.689
10 H 0.039 0.887 0.189
11 H 0.463 0.702 0.279
12 H 0.463 0.798 0.779
13 H 0.464 0.522 0.311
14 H 0.464 0.978 0.811
15 H 0.536 0.022 0.189
16 H 0.536 0.478 0.689
17 H 0.537 0.202 0.221
18 H 0.537 0.298 0.721
19 H 0.961 0.113 0.811
20 H 0.961 0.387 0.311
21 O 0.116 0.668 0.566
22 O 0.116 0.832 0.066
23 O 0.379 0.621 0.376
24 O 0.379 0.879 0.876
25 O 0.463 0.541 0.746
26 O 0.463 0.959 0.246
27 O 0.465 0.241 0.794
28 O 0.465 0.259 0.294
29 O 0.535 0.741 0.706
30 O 0.535 0.759 0.206
31 O 0.537 0.041 0.754
32 O 0.537 0.459 0.254
33 O 0.621 0.121 0.124
34 O 0.621 0.379 0.624
35 O 0.884 0.168 0.934
36 O 0.884 0.332 0.434
37 F 0.025 0.070 0.711
38 F 0.025 0.430 0.211
39 F 0.975 0.570 0.789
40 F 0.975 0.930 0.289

The value obtained for the density of states at the Fermi level is 0.0000 states/eV per atom. The value obtained for the total DFT energy (no corrections) is -233.24 eV for the cell shown. The value obtained for the total magnetization is 0.0 μB per formula unit. For the calculated volume, the calculation gives 472.2 Å³ per cell.